(1)
## HoNi5Ge2 (PBE-GGA)

Data for HoNi5Ge2 after structural relaxation.

Summary:
Raw total energy, eV for the cell shown: -46.26
DOS at the Fermi energy, states/eV per cell: 5.1
Formation energy, eV/atom: -0.443
Space group: Immm, No. 71

Cell lengths 3.6257, 6.0035, 6.0035 Å; angles 67.80, 72.42, 72.42 degrees
Last column: nearest neighbours and their distance in Å.
Fractional positions:
Ge: 0.7500 0.7500 0.7500  7 Ni 2.32-2.43
Ge: 0.2500 0.2500 0.2500  7 Ni 2.32-2.43
Ni: 0.0000 0.5000 0.5000  2 Ge 2.32, 8 Ni 2.56
Ni: 0.6396 0.5482 0.1726  3 Ge 2.33-2.43, 4 Ni 2.52-2.59
Ni: 0.3604 0.4518 0.8274  3 Ge 2.33-2.43, 4 Ni 2.52-2.59
Ni: 0.3604 0.8274 0.4518  3 Ge 2.33-2.43, 4 Ni 2.52-2.59
Ni: 0.6396 0.1726 0.5482  3 Ge 2.33-2.43, 4 Ni 2.52-2.59
Ho: 0.0000 0.0000 0.0000  4 Ge 2.94, 8 Ni 3.06


(2)
## HoNi4Ge (PBE-GGA)

Data for HoNi4Ge after structural relaxation.

Summary:
Distance to the lowest polymorph of the same formula, meV/atom: 16
Raw total energy, eV for the cell shown: -34.40
DOS at the Fermi energy, states/eV per cell: 6.1
Formation energy, eV/atom: -0.346
Space group: F-43m, No. 216

Cell lengths 4.8965, 4.8965, 4.8965 Å; angles 60.00, 60.00, 60.00 degrees
Last column: nearest neighbours and their distance in Å.
Fractional positions:
Ge: 0.2500 0.2500 0.2500  12 Ni 2.87, 4 Ho 3.00
Ho: 0.0000 0.0000 0.0000  12 Ni 2.87, 4 Ge 3.00
Ni: 0.6243 0.1272 0.6243  6 Ni 2.43-2.46
Ni: 0.6243 0.6243 0.6243  6 Ni 2.43-2.46
Ni: 0.6243 0.6243 0.1272  6 Ni 2.43-2.46
Ni: 0.1272 0.6243 0.6243  6 Ni 2.43-2.46


(3)
## Ho2Ni2Ge3 (PBE-GGA)

Data for Ho2Ni2Ge3 after structural relaxation.

Summary:
Distance to the lowest polymorph of the same formula, meV/atom: 127
Raw total energy, eV for the cell shown: -38.79
DOS at the Fermi energy, states/eV per cell: 4.2
Formation energy, eV/atom: -0.602
Space group: C2/m, No. 12

Cell lengths 4.0340, 5.4108, 6.5985 Å; angles 111.93, 90.00, 111.89 degrees
Last column: nearest neighbours and their distance in Å.
Fractional positions:
Ge: 0.6178 0.2357 0.4467  3 Ni 2.45-2.48, 2 Ge 2.70-2.73
Ge: 0.3822 0.7643 0.5533  3 Ni 2.45-2.48, 2 Ge 2.70-2.73
Ge: 0.5000 0.0000 0.0000  4 Ni 2.62, 2 Ge 2.70
Ho: 0.1485 0.2970 0.7838  4 Ni 2.85-3.07, 4 Ge 2.93-3.17
Ho: 0.8515 0.7030 0.2162  4 Ni 2.85-3.07, 4 Ge 2.93-3.17
Ni: 0.8581 0.7162 0.7552  5 Ge 2.45-2.62
Ni: 0.1419 0.2838 0.2448  5 Ge 2.45-2.62


(4)
## HoNiGe (PBE-GGA)

Data for HoNiGe after structural relaxation.

Summary:
Raw total energy, eV for the cell shown: -34.29
DOS at the Fermi energy, states/eV per cell: 2.8
Formation energy, eV/atom: -0.722
Space group: C2/m, No. 12

Cell lengths 5.4891, 5.4891, 6.8606 Å; angles 51.82, 51.82, 44.17 degrees
Last column: nearest neighbours and their distance in Å.
Fractional positions:
Ge: 0.8292 0.8292 0.6016  3 Ni 2.40-2.60
Ge: 0.1708 0.1708 0.3984  3 Ni 2.40-2.60
Ho: 0.4477 0.4477 0.8119  6 Ni 2.95-3.25, 6 Ge 2.98-3.18
Ho: 0.5523 0.5523 0.1881  6 Ni 2.95-3.25, 6 Ge 2.98-3.18
Ni: 0.1681 0.1681 0.7798  3 Ge 2.40-2.60, 1 Ni 2.65
Ni: 0.8319 0.8319 0.2202  3 Ge 2.40-2.60, 1 Ni 2.65


(5)
## Ho3Ni7Ge4 (PBE-GGA)

Data for Ho3Ni7Ge4 after structural relaxation.

Summary:
Raw total energy, eV for the cell shown: -81.30
DOS at the Fermi energy, states/eV per cell: 10.7
Formation energy, eV/atom: -0.616
Space group: C2/m, No. 12

Cell lengths 4.0163, 7.7856, 7.7407 Å; angles 69.14, 74.96, 75.05 degrees
Last column: nearest neighbours and their distance in Å.
Fractional positions:
Ge: 0.1203 0.1009 0.6585  6 Ni 2.43-2.48
Ge: 0.3315 0.5326 0.8043  5 Ni 2.39-2.58
Ge: 0.8797 0.8991 0.3415  6 Ni 2.43-2.48
Ge: 0.6685 0.4674 0.1957  5 Ni 2.39-2.58
Ni: 0.8703 0.3581 0.9014  3 Ge 2.39-2.58, 3 Ni 2.56
Ni: 0.3162 0.8267 0.5409  4 Ge 2.46-2.48, 1 Ni 2.53
Ni: 0.1297 0.6419 0.0986  3 Ge 2.39-2.58, 3 Ni 2.56
Ni: 0.4990 0.7837 0.2182  3 Ge 2.44-2.48, 3 Ni 2.53-2.56
Ni: 0.0000 0.0000 0.0000  2 Ge 2.43, 2 Ni 2.56
Ni: 0.5010 0.2163 0.7818  3 Ge 2.44-2.48, 3 Ni 2.53-2.56
Ni: 0.6838 0.1733 0.4591  4 Ge 2.46-2.48, 1 Ni 2.53
Ho: 0.3189 0.1881 0.1740  9 Ni 2.86-3.21, 5 Ge 2.94-3.15
Ho: 0.0000 0.5000 0.5000  2 Ni 2.86, 6 Ge 2.87-3.10
Ho: 0.6811 0.8119 0.8260  9 Ni 2.86-3.21, 5 Ge 2.94-3.15


(6)
## HoNiGe (PBE-GGA)

Data for HoNiGe after structural relaxation.

Summary:
Raw total energy, eV for the cell shown: -15.78
DOS at the Fermi energy, states/eV per cell: 1.5
Formation energy, eV/atom: -0.266
Space group: I4mm, No. 107

Cell lengths 3.7395, 3.7395, 4.8993 Å; angles 112.43, 112.43, 90.00 degrees
Last column: nearest neighbours and their distance in Å.
Fractional positions:
Ni: 0.3015 0.3015 0.6029  1 Ge 2.52
Ho: 0.9415 0.9415 0.8831  5 Ge 2.76-2.98, 5 Ni 2.89-2.97
Ge: 0.6070 0.6070 0.2140  1 Ni 2.52, 1 Ho 2.76


(7)
## HoNiGe (PBE-GGA)

Data for HoNiGe after structural relaxation.

Summary:
Raw total energy, eV for the cell shown: -16.75
DOS at the Fermi energy, states/eV per cell: 6.3
Formation energy, eV/atom: -0.592
Space group: F-43m, No. 216

Cell lengths 4.3471, 4.3471, 4.3471 Å; angles 60.00, 60.00, 60.00 degrees
Last column: nearest neighbours and their distance in Å.
Fractional positions:
Ho: 0.5000 0.5000 0.5000  4 Ni 2.66
Ni: 0.2500 0.2500 0.2500  4 Ge 2.66, 4 Ho 2.66
Ge: 0.0000 0.0000 0.0000  4 Ni 2.66


(8)
## HoNi12Ge4 (PBE-GGA)

Data for HoNi12Ge4 after structural relaxation.

Summary:
Raw total energy, eV for the cell shown: -90.48
DOS at the Fermi energy, states/eV per cell: 6.8
Formation energy, eV/atom: 0.114
Space group: Im-3, No. 204

Cell lengths 6.8493, 6.8493, 6.8493 Å; angles 109.47, 109.47, 109.47 degrees
Last column: nearest neighbours and their distance in Å.
Fractional positions:
Ni: 0.6464 0.7990 0.1526  2 Ge 2.27, 2 Ni 2.32-2.41
Ni: 0.8474 0.3536 0.2010  2 Ge 2.27, 2 Ni 2.32-2.41
Ni: 0.3536 0.2010 0.8474  2 Ge 2.27, 2 Ni 2.32-2.41
Ni: 0.6464 0.4938 0.8474  2 Ge 2.27, 2 Ni 2.32-2.41
Ni: 0.1526 0.3536 0.5062  2 Ge 2.27, 2 Ni 2.32-2.41
Ni: 0.7990 0.1526 0.6464  2 Ge 2.27, 2 Ni 2.32-2.41
Ni: 0.8474 0.6464 0.4938  2 Ge 2.27, 2 Ni 2.32-2.41
Ni: 0.1526 0.6464 0.7990  2 Ge 2.27, 2 Ni 2.32-2.41
Ni: 0.3536 0.5062 0.1526  2 Ge 2.27, 2 Ni 2.32-2.41
Ni: 0.5062 0.1526 0.3536  2 Ge 2.27, 2 Ni 2.32-2.41
Ni: 0.2010 0.8474 0.3536  2 Ge 2.27, 2 Ni 2.32-2.41
Ni: 0.4938 0.8474 0.6464  2 Ge 2.27, 2 Ni 2.32-2.41
Ge: 0.5000 0.0000 0.0000  6 Ni 2.27
Ge: 0.5000 0.5000 0.5000  6 Ni 2.27
Ge: 0.0000 0.5000 0.0000  6 Ni 2.27
Ge: 0.0000 0.0000 0.5000  6 Ni 2.27
Ho: 0.0000 0.0000 0.0000  12 Ni 3.05


(9)
## HoNi4Ge2 (PBE-GGA)

Data for HoNi4Ge2 after structural relaxation.

Summary:
Distance to the lowest polymorph of the same formula, meV/atom: 0
Raw total energy, eV for the cell shown: -81.29
DOS at the Fermi energy, states/eV per cell: 13.8
Formation energy, eV/atom: -0.530
Space group: P4_2/mnm, No. 136

Cell lengths 3.7524, 7.2830, 7.2830 Å; angles 90.00, 90.00, 90.00 degrees
Last column: nearest neighbours and their distance in Å.
Fractional positions:
Ni: 0.0000 0.9136 0.6558  3 Ge 2.39-2.41, 6 Ni 2.59-2.66
Ni: 0.0000 0.0864 0.3442  3 Ge 2.39-2.41, 6 Ni 2.59-2.66
Ni: 0.5000 0.1558 0.5864  3 Ge 2.39-2.41, 6 Ni 2.59-2.66
Ni: 0.0000 0.3442 0.0864  3 Ge 2.39-2.41, 6 Ni 2.59-2.66
Ni: 0.0000 0.6558 0.9136  3 Ge 2.39-2.41, 6 Ni 2.59-2.66
Ni: 0.5000 0.5864 0.1558  3 Ge 2.39-2.41, 6 Ni 2.59-2.66
Ni: 0.5000 0.4136 0.8442  3 Ge 2.39-2.41, 6 Ni 2.59-2.66
Ni: 0.5000 0.8442 0.4136  3 Ge 2.39-2.41, 6 Ni 2.59-2.66
Ho: 0.0000 0.5000 0.5000  6 Ge 2.89-2.94, 12 Ni 3.19-3.22
Ho: 0.5000 0.0000 0.0000  6 Ge 2.89-2.94, 12 Ni 3.19-3.22
Ge: 0.0000 0.7804 0.2196  6 Ni 2.39-2.41
Ge: 0.0000 0.2196 0.7804  6 Ni 2.39-2.41
Ge: 0.5000 0.2804 0.2804  6 Ni 2.39-2.41
Ge: 0.5000 0.7196 0.7196  6 Ni 2.39-2.41


(10)
## HoNi4Ge12 (PBE-GGA)

Data for HoNi4Ge12 after structural relaxation.

Summary:
Raw total energy, eV for the cell shown: -86.21
DOS at the Fermi energy, states/eV per cell: 8.9
Formation energy, eV/atom: -0.182
Space group: Im-3, No. 204

Cell lengths 7.2702, 7.2702, 7.2702 Å; angles 109.47, 109.47, 109.47 degrees
Last column: nearest neighbours and their distance in Å.
Fractional positions:
Ni: 0.5000 0.5000 0.5000  6 Ge 2.37
Ni: 0.5000 0.0000 0.0000  6 Ge 2.37
Ni: 0.0000 0.5000 0.0000  6 Ge 2.37
Ni: 0.0000 0.0000 0.5000  6 Ge 2.37
Ge: 0.5070 0.1611 0.3458  2 Ni 2.37, 1 Ge 2.59
Ge: 0.3458 0.1847 0.8389  2 Ni 2.37, 1 Ge 2.59
Ge: 0.1611 0.3458 0.5070  2 Ni 2.37, 1 Ge 2.59
Ge: 0.6542 0.4930 0.8389  2 Ni 2.37, 1 Ge 2.59
Ge: 0.1611 0.6542 0.8153  2 Ni 2.37, 1 Ge 2.59
Ge: 0.1847 0.8389 0.3458  2 Ni 2.37, 1 Ge 2.59
Ge: 0.6542 0.8153 0.1611  2 Ni 2.37, 1 Ge 2.59
Ge: 0.4930 0.8389 0.6542  2 Ni 2.37, 1 Ge 2.59
Ge: 0.8389 0.6542 0.4930  2 Ni 2.37, 1 Ge 2.59
Ge: 0.8389 0.3458 0.1847  2 Ni 2.37, 1 Ge 2.59
Ge: 0.3458 0.5070 0.1611  2 Ni 2.37, 1 Ge 2.59
Ge: 0.8153 0.1611 0.6542  2 Ni 2.37, 1 Ge 2.59
Ho: 0.0000 0.0000 0.0000  12 Ge 3.20


(11)
## HoNiGe2 (PBE-GGA)

Data for HoNiGe2 after structural relaxation.

Summary:
Raw total energy, eV for the cell shown: -89.11
DOS at the Fermi energy, states/eV per cell: 5.9
Formation energy, eV/atom: -0.671
Space group: Pnma, No. 62

Cell lengths 4.1170, 6.7937, 10.2376 Å; angles 90.00, 90.00, 90.00 degrees
Last column: nearest neighbours and their distance in Å.
Fractional positions:
Ge: 0.7500 0.1589 0.5651  3 Ni 2.37-2.41
Ge: 0.7500 0.6366 0.3399  2 Ni 2.29-2.41
Ge: 0.2500 0.3634 0.6601  2 Ni 2.29-2.41
Ge: 0.7500 0.6589 0.9349  3 Ni 2.37-2.41
Ge: 0.2500 0.8411 0.4349  3 Ni 2.37-2.41
Ge: 0.2500 0.3411 0.0651  3 Ni 2.37-2.41
Ge: 0.2500 0.8634 0.8399  2 Ni 2.29-2.41
Ge: 0.7500 0.1366 0.1601  2 Ni 2.29-2.41
Ni: 0.2500 0.5097 0.8619  5 Ge 2.29-2.41
Ni: 0.2500 0.0097 0.6381  5 Ge 2.29-2.41
Ni: 0.7500 0.9903 0.3619  5 Ge 2.29-2.41
Ni: 0.7500 0.4903 0.1381  5 Ge 2.29-2.41
Ho: 0.7500 0.1805 0.8668  9 Ge 2.99-3.32, 4 Ni 3.04-3.33
Ho: 0.7500 0.6805 0.6332  9 Ge 2.99-3.32, 4 Ni 3.04-3.33
Ho: 0.2500 0.3195 0.3668  9 Ge 2.99-3.32, 4 Ni 3.04-3.33
Ho: 0.2500 0.8195 0.1332  9 Ge 2.99-3.32, 4 Ni 3.04-3.33


(12)
## HoNi8Ge2 (PBE-GGA)

Data for HoNi8Ge2 after structural relaxation.

Summary:
Raw total energy, eV for the cell shown: -58.02
DOS at the Fermi energy, states/eV per cell: 10.5
Formation energy, eV/atom: 0.186
Space group: P4/mmm, No. 123

Cell lengths 4.8288, 4.8288, 7.6680 Å; angles 90.00, 90.00, 90.00 degrees
Last column: nearest neighbours and their distance in Å.
Fractional positions:
Ho: 0.5000 0.5000 0.5000  8 Ni 2.79
Ni: 0.7545 0.2455 0.2161  4 Ni 2.37-2.46, 2 Ge 2.38
Ni: 0.2455 0.2455 0.7839  4 Ni 2.37-2.46, 2 Ge 2.38
Ni: 0.2455 0.7545 0.7839  4 Ni 2.37-2.46, 2 Ge 2.38
Ni: 0.2455 0.7545 0.2161  4 Ni 2.37-2.46, 2 Ge 2.38
Ni: 0.7545 0.7545 0.2161  4 Ni 2.37-2.46, 2 Ge 2.38
Ni: 0.2455 0.2455 0.2161  4 Ni 2.37-2.46, 2 Ge 2.38
Ni: 0.7545 0.7545 0.7839  4 Ni 2.37-2.46, 2 Ge 2.38
Ni: 0.7545 0.2455 0.7839  4 Ni 2.37-2.46, 2 Ge 2.38
Ge: 0.0000 0.5000 0.0000  8 Ni 2.38
Ge: 0.5000 0.0000 0.0000  8 Ni 2.38